[1]
This record from the Alexandria database describes a relaxed La2TbTh crystal. The functional is PBE-GGA.

POSCAR file:
```
La2TbTh
1.0
5.138 0.000 0.000
0.000 5.138 0.000
0.000 0.000 5.163
La Tb Th
2 1 1
Cartesian
0.000 2.569 0.000
2.569 0.000 0.000
0.000 0.000 2.582
2.569 2.569 2.582
```

## Properties
The calculation puts the energy above the most stable polymorph in this dataset at 3.0 kJ per mole of atoms. For the calculated total energy, the calculation gives -5.422 eV/atom. The value obtained for the total magnetic moment is 0.000 μB per atom. As for the mass density: 8.15 g/cm³.

[2]
This record from the Alexandria database describes a relaxed Pu2RhPb crystal. The functional is PBE-GGA.

POSCAR file:
```
Pu2RhPb
1.0
3.354 0.000 0.000
0.000 3.354 0.000
0.000 0.000 8.603
Pu Rh Pb
2 1 1
Cartesian
0.000 0.000 1.763
0.000 0.000 6.840
1.677 1.677 0.000
1.677 1.677 4.302
```

## Properties
The calculation puts the energy above the most stable polymorph in this dataset at 0.0 kJ per mole of atoms. For the calculated total energy, the calculation gives -10.241 eV/atom. The value obtained for the total magnetic moment is 2.725 μB per atom. As for the mass density: 13.69 g/cm³.

[3]
This record from the Alexandria database describes a relaxed Hf2MgPd9 crystal. The functional is PBE-GGA.

POSCAR file:
```
Hf2MgPd9
1.0
4.005 0.000 0.000
0.000 4.005 0.000
0.000 0.000 11.955
Hf Mg Pd
2 1 9
Cartesian
0.000 0.000 2.051
0.000 0.000 9.904
0.000 0.000 5.978
0.000 2.003 0.000
0.000 2.003 3.969
0.000 2.003 7.986
2.003 0.000 0.000
2.003 0.000 3.969
2.003 0.000 7.986
2.003 2.003 1.977
2.003 2.003 5.978
2.003 2.003 9.978
```

## Properties
For the calculated total energy, the calculation gives -6.453 eV/atom. The value obtained for the total magnetic moment is 0.000 μB per atom. As for the mass density: 11.59 g/cm³.

Q: Number 3 is which compound?
A: Hf2MgPd9

Q: Which of these has the lowest calculated total energy?
A: Pu2RhPb